# 1
La4NdSm2Er: relaxed, PBE.

Computed properties:
**DOS(E_F)**: 11.78 states/eV/cell
**ΔE_f**: 0.015 eV/atom
**Mass density**: 6.9 g cm⁻³
**Total moment**: 0.000 μB/f.u.

POSCAR file:
```
La4NdSm2Er
1.0
5.2587 0.0000 0.0000
0.0000 5.0387 1.3899
0.0001 2.3247 11.2435
La Nd Sm Er
4 1 2 1
Direct
0.5000 0.7475 0.2524 La
0.5000 0.2525 0.7476 La
0.0000 0.7531 0.7473 La
0.0000 0.2469 0.2527 La
0.5000 0.5000 0.0000 Nd
0.5000 0.0000 0.5000 Sm
0.0000 0.0000 0.0000 Sm
0.0000 0.5000 0.5000 Er
```

=====

# 2
LaNd2Sm2Er2: relaxed, PBE.

Computed properties:
**DOS(E_F)**: 12.22 states/eV/cell
**ΔE_f**: 0.088 eV/atom
**Mass density**: 7.4 g cm⁻³
**Total moment**: 0.000 μB/f.u.

POSCAR file:
```
LaNd2Sm2Er2
1.0
3.5648 0.0000 0.0000
-1.7824 5.6815 1.6219
0.0000 0.7220 12.0130
La Nd Er Sm
1 2 2 2
Direct
0.0000 0.0000 0.5000 La
0.3312 0.6624 0.0834 Nd
0.6688 0.3376 0.9166 Nd
0.2240 0.4481 0.6374 Er
0.7760 0.5519 0.3626 Er
0.4488 0.8976 0.7714 Sm
0.5512 0.1024 0.2286 Sm
```

=====

# 3
La2NdSmEr4: relaxed, PBE.

Computed properties:
**DOS(E_F)**: 10.21 states/eV/cell
**ΔE_f**: 0.019 eV/atom
**Mass density**: 7.8 g cm⁻³
**Total moment**: 0.000 μB/f.u.

POSCAR file:
```
La2NdSmEr4
1.0
3.6177 0.0000 0.0000
0.0000 6.2458 -0.3368
0.0000 2.7201 11.5026
La Er Sm Nd
2 4 1 1
Direct
0.5000 0.0000 0.5000 La
0.0000 0.0000 0.0000 La
0.5000 0.7495 0.2499 Er
0.5000 0.2505 0.7501 Er
0.0000 0.2510 0.2488 Er
0.0000 0.7490 0.7512 Er
0.5000 0.5000 0.0000 Sm
0.0000 0.5000 0.5000 Nd
```

=====

# 4
La2Nd3Sm6Er: relaxed, PBE.

Computed properties:
**DOS(E_F)**: 17.98 states/eV/cell
**ΔE_f**: 0.016 eV/atom
**Mass density**: 7.1 g cm⁻³
**Total moment**: 0.000 μB/f.u.

POSCAR file:
```
La2Nd3Sm6Er
1.0
-5.4176 -3.2680 -0.0029
3.6452 0.0737 5.1708
-5.2202 10.7024 2.2316
Sm Er La Nd
6 1 2 3
Direct
0.2485 0.2485 0.7495 Sm
0.7515 0.7515 0.2505 Sm
0.9168 0.5851 0.7498 Sm
0.0832 0.4149 0.2502 Sm
0.5851 0.9168 0.7498 Sm
0.4149 0.0832 0.2502 Sm
0.0000 0.0000 0.0000 Er
0.3332 0.6668 0.0000 La
0.6668 0.3332 0.0000 La
0.1665 0.8335 0.5000 Nd
0.8335 0.1665 0.5000 Nd
0.5000 0.5000 0.5000 Nd
```

=====

# 5
La2Nd2SmEr2: relaxed, PBE.

Computed properties:
**DOS(E_F)**: 11.48 states/eV/cell
**ΔE_f**: 0.024 eV/atom
**Mass density**: 7.3 g cm⁻³
**Total moment**: 0.000 μB/f.u.

POSCAR file:
```
La2Nd2SmEr2
1.0
5.1477 0.0000 0.0000
-2.5739 5.7396 0.2926
0.0000 -1.5584 8.0344
Er Nd La Sm
2 2 2 1
Direct
0.5708 0.1417 0.7150 Er
0.4292 0.8583 0.2850 Er
0.2852 0.5704 0.8590 Nd
0.7148 0.4296 0.1410 Nd
0.1419 0.2838 0.4267 La
0.8581 0.7162 0.5733 La
0.0000 0.0000 0.0000 Sm
```

=====

# 6
La5NdSm2Er: relaxed, PBE.

Computed properties:
**DOS(E_F)**: 33.51 states/eV/cell
**ΔE_f**: 0.275 eV/atom
**Mass density**: 6.7 g cm⁻³
**Total moment**: 0.000 μB/f.u.

POSCAR file:
```
La5NdSm2Er
1.0
-4.2754 3.9304 7.1521
-6.2666 -6.7533 -0.0348
9.5777 -2.6095 1.2255
Nd La Sm Er
2 10 4 2
Direct
0.7500 0.7500 0.5000 Nd
0.2500 0.2500 0.5000 Nd
0.5687 0.6526 0.7213 La
0.1526 0.0687 0.7213 La
0.8474 0.9313 0.2787 La
0.0000 0.0000 0.0000 La
0.4313 0.3474 0.2787 La
0.9313 0.4313 0.2787 La
0.6526 0.1526 0.7213 La
0.3474 0.8474 0.2787 La
0.0687 0.5687 0.7213 La
0.5000 0.5000 0.0000 La
0.1128 0.3872 0.0000 Sm
0.3872 0.8872 0.0000 Sm
0.8872 0.6128 0.0000 Sm
0.6128 0.1128 0.0000 Sm
0.2500 0.7500 0.5000 Er
0.7500 0.2500 0.5000 Er
```

=====

# 7
LaNd2Sm5Er: relaxed, PBE.

Computed properties:
**DOS(E_F)**: 24.06 states/eV/cell
**ΔE_f**: 0.265 eV/atom
**Mass density**: 7.2 g cm⁻³
**Total moment**: 0.002 μB/f.u.

POSCAR file:
```
LaNd2Sm5Er
1.0
-2.3650 -7.1819 4.6598
2.5007 -5.2030 -6.7500
7.2196 5.7605 4.0779
Sm La Er Nd
10 2 2 4
Direct
0.3458 0.8458 0.2744 Sm
0.6542 0.1542 0.7256 Sm
0.4287 0.3458 0.2744 Sm
0.1542 0.0713 0.7256 Sm
0.0713 0.5713 0.7256 Sm
0.5000 0.5000 0.0000 Sm
0.5713 0.6542 0.7256 Sm
0.8458 0.9287 0.2744 Sm
0.0000 0.0000 0.0000 Sm
0.9287 0.4287 0.2744 Sm
0.7500 0.7500 0.5000 La
0.2500 0.2500 0.5000 La
0.7500 0.2500 0.5000 Er
0.2500 0.7500 0.5000 Er
0.6175 0.1175 0.0000 Nd
0.3825 0.8825 0.0000 Nd
0.8825 0.6175 0.0000 Nd
0.1175 0.3825 0.0000 Nd
```

=====

# 8
La2NdSm2Er2: relaxed, PBE.

Computed properties:
**DOS(E_F)**: 11.45 states/eV/cell
**ΔE_f**: 0.025 eV/atom
**Mass density**: 7.4 g cm⁻³
**Total moment**: 0.007 μB/f.u.

POSCAR file:
```
La2NdSm2Er2
1.0
-2.0314 -4.6084 -0.9679
3.1597 0.3205 5.4287
-7.2080 2.5806 2.8406
Sm Er La Nd
2 2 2 1
Direct
0.7155 0.4309 0.1404 Sm
0.2845 0.5691 0.8596 Sm
0.5711 0.1422 0.7159 Er
0.4289 0.8578 0.2841 Er
0.8580 0.7160 0.5731 La
0.1420 0.2840 0.4269 La
0.0000 0.0000 0.0000 Nd
```

=====

Look up the DOS(E_F) of the eighth one.
11.45 states/eV/cell